Record 1
Below is a relaxed structure of Pr4NiRu, with properties calculated at the PBE level.

Calculated values
mass density	7.4	g/cm³
magnetic moment	0.000	μB/f.u.
energy relative to the lowest polymorph listed for this composition	0.0	meV per atom
formation enthalpy at 0 K	-0.1195	eV/atom

```
12
Lattice="-3.9550 -2.7558 -4.4746 2.5989 -6.3495 1.6134 -4.9958 -0.7979 4.9071" Properties=species:S:1:pos:R:3 pbc="T T T"
Pr -2.9233 -1.7315 3.6502
Pr 0.5264 -5.4159 2.8703
Pr -0.1085 -2.1657 1.4298
Pr -2.2884 -4.9817 5.0908
Pr -3.2736 -7.0849 2.4231
Pr -3.0783 -2.8183 -0.3772
Pr -1.1379 -5.8600 -0.2189
Pr -5.2140 -4.0432 2.2649
Ni -0.9888 -0.6890 -1.1187
Ni -2.9663 -2.0669 -3.3560
Ru -2.1872 -4.2627 2.1416
Ru -4.1647 -5.6406 -0.0957
```

=====

Record 2
Below is a relaxed structure of CdGaHg3, with properties calculated at the PBE level.

Calculated values
mass density	10.0	g/cm³
magnetic moment	0.000	μB/f.u.
energy relative to the lowest polymorph listed for this composition	24.1	meV per atom
formation enthalpy at 0 K	0.0666	eV/atom

```
10
Lattice="4.9829 0.0000 0.0000 0.0000 6.2653 0.0000 0.0000 0.0000 8.3045" Properties=species:S:1:pos:R:3 pbc="T T T"
Cd 2.4915 0.0000 1.7572
Cd 0.0000 3.1326 6.5473
Ga 0.0000 0.0000 5.4787
Ga 2.4915 3.1326 2.8258
Hg 0.0000 4.6962 2.9010
Hg 2.4915 4.7017 5.4035
Hg 2.4915 1.5635 5.4035
Hg 0.0000 1.5691 2.9010
Hg 0.0000 0.0000 8.2668
Hg 2.4915 3.1326 0.0377
```

=====

Record 3
Below is a relaxed structure of Ti6CoN3, with properties calculated at the PBE level.

Calculated values
mass density	5.3	g/cm³
magnetic moment	0.001	μB/f.u.
E_tot	-182.173	eV per cell

```
20
Lattice="2.9971 0.0000 0.0000 0.0000 10.6006 -0.7621 0.0000 -4.3312 7.9424" Properties=species:S:1:pos:R:3 pbc="T T T"
Ti 2.2478 2.0670 4.4149
Ti 0.7493 4.2024 2.7653
Ti 2.2478 9.5962 -0.0259
Ti 0.7493 -3.3268 7.2062
Ti 2.2478 3.1137 0.5683
Ti 0.7493 3.1557 6.6120
Ti 2.2478 5.9549 0.8403
Ti 0.7493 0.3145 6.3399
Ti 2.2478 -0.7721 3.8432
Ti 0.7493 7.0415 3.3371
Ti 2.2478 5.1728 5.0452
Ti 0.7493 1.0966 2.1351
Co 2.2478 -2.0184 5.7695
Co 0.7493 8.2878 1.4108
N 2.2478 1.7474 6.5434
N 0.7493 4.5220 0.6368
N 2.2478 5.6560 2.9981
N 0.7493 0.6134 4.1821
N 2.2478 1.0614 0.7294
N 0.7493 5.2080 6.4509
```

=====

Record 4
Below is a relaxed structure of VZnNiOs, with properties calculated at the PBE level.

Calculated values
mass density	11.6	g/cm³
magnetic moment	0.000	μB/f.u.
formation enthalpy at 0 K	-0.0890	eV/atom

```
4
Lattice="-2.3144 -1.4223 3.2057 1.7730 -0.6202 3.7587 -0.9339 2.5464 3.2093" Properties=species:S:1:pos:R:3 pbc="T T T"
Ni -0.3688 0.1260 2.5434
Zn 0.0000 0.0000 0.0000
Os -1.1065 0.3779 7.6303
V -0.7377 0.2519 5.0869
```

=====

Record 5
Below is a relaxed structure of FeHg2PdC, with properties calculated at the PBE level.

Calculated values
mass density	8.9	g/cm³
magnetic moment	3.358	μB/f.u.
formation enthalpy at 0 K	1.2628	eV/atom

```
5
Lattice="-0.7705 5.1404 1.1877 -0.0100 -0.8519 3.6809 5.2758 0.7475 0.1874" Properties=species:S:1:pos:R:3 pbc="T T T"
C -0.0050 -0.4260 1.8404
Hg 2.6379 0.3738 0.0937
Hg -0.3853 2.5702 0.5938
Pd 0.0000 0.0000 0.0000
Fe 2.2476 2.5180 2.5279
```

=====

Record 6
Below is a relaxed structure of CaZrBi3, with properties calculated at the PBE level.

Calculated values
mass density	8.3	g/cm³
magnetic moment	0.000	μB/f.u.
energy relative to the lowest polymorph listed for this composition	0.0	meV per atom
formation enthalpy at 0 K	-0.4216	eV/atom

```
20
Lattice="-3.3392 -4.0421 4.2094 -3.6348 -2.1178 -4.9170 9.2481 -10.1894 -2.4479" Properties=species:S:1:pos:R:3 pbc="T T T"
Ca 2.0631 -11.0005 -0.8718
Ca 0.2110 -5.3487 -2.2838
Ca -3.1280 -8.3424 -2.4373
Ca 5.4021 -8.0068 -0.7182
Zr -1.6958 -3.5228 0.6418
Zr 5.6395 -10.8053 -5.9021
Zr 3.9698 -12.8263 -3.7974
Zr -0.0262 -1.5018 -1.4629
Bi 3.6400 -5.5411 -2.4333
Bi 0.3037 -8.7871 -2.8270
Bi 1.9733 -6.7661 -4.9317
Bi 1.9703 -7.5621 -0.3286
Bi 7.1862 -10.6915 -1.8809
Bi -4.9121 -5.6577 -1.2747
Bi -2.4268 -3.1614 -2.2760
Bi 4.7009 -13.1878 -0.8796
Bi 4.3476 -9.8360 -3.3111
Bi -2.0736 -6.5132 0.1555
Bi 1.3490 -3.4709 0.4222
Bi 0.9251 -12.8783 -3.5777
```

=====

Record 7
Below is a relaxed structure of Bi3SbBr, with properties calculated at the PBE level.

Calculated values
mass density	6.7	g/cm³
magnetic moment	0.000	μB/f.u.
energy relative to the lowest polymorph listed for this composition	0.0	meV per atom

```
5
Lattice="5.8944 0.0000 0.0000 0.0000 5.8944 0.0000 0.0000 0.0000 5.8944" Properties=species:S:1:pos:R:3 pbc="T T T"
Sb 0.0000 0.0000 0.0000
Bi 0.0000 2.9472 0.0000
Bi 0.0000 0.0000 2.9472
Bi 2.9472 0.0000 0.0000
Br 2.9472 2.9472 2.9472
```

=====

Record 8
Below is a relaxed structure of Ba2Zn2Ag, with properties calculated at the PBE level.

Calculated values
mass density	5.3	g/cm³
magnetic moment	0.000	μB/f.u.
energy relative to the lowest polymorph listed for this composition	0.0	meV per atom
formation enthalpy at 0 K	-0.2093	eV/atom

```
10
Lattice="-0.5980 1.6167 -4.4875 -1.1606 -4.8675 -4.1737 -11.1374 2.3351 -0.2493" Properties=species:S:1:pos:R:3 pbc="T T T"
Ba -1.7416 -0.7378 -2.6085
Ba -7.7992 1.2173 -3.6717
Ba -11.1543 -0.1778 -6.3020
Ba -5.0968 -2.1329 -5.2388
Zn -9.9977 1.5890 -0.6700
Zn -5.1112 -0.4460 -2.0543
Zn -2.8983 -2.5047 -8.2405
Zn -7.7848 -0.4696 -6.8562
Ag -4.2580 1.1259 -4.1766
Ag -8.6380 -2.0415 -4.7340
```

=====

Record 9
Below is a relaxed structure of Cs3AgAu2I6, with properties calculated at the PBE level.

Calculated values
mass density	4.1	g/cm³
magnetic moment	0.000	μB/f.u.
E_tot	-30.355	eV per cell

```
12
Lattice="8.7839 0.0000 0.0000 -4.3919 7.6070 0.0000 0.0000 0.0000 10.0415" Properties=species:S:1:pos:R:3 pbc="T T T"
Cs 0.0000 5.0714 6.5486
Cs 4.3919 2.5357 3.4928
Cs 0.0000 0.0000 0.0000
Ag 0.0000 0.0000 5.0207
Au 4.3919 2.5357 7.0766
Au 0.0000 5.0714 2.9649
I 2.3529 6.4298 3.0327
I 0.0000 2.3545 3.0327
I -2.3529 6.4298 3.0327
I 4.3919 5.2526 7.0088
I 2.0391 1.1773 7.0088
I 6.7448 1.1773 7.0088
```

=====

Record 10
Below is a relaxed structure of Li2CoBr, with properties calculated at the PBE level.

Calculated values
mass density	3.7	g/cm³
magnetic moment	1.774	μB/f.u.
energy relative to the lowest polymorph listed for this composition	65.0	meV per atom

```
4
Lattice="-1.5773 3.0713 0.0710 -1.8144 -0.8662 -2.8359 -5.0542 -2.6409 1.9536" Properties=species:S:1:pos:R:3 pbc="T T T"
Br -3.6053 -1.8256 -1.1249
Co -5.7897 -1.0335 0.0706
Li -6.6545 -3.3995 -0.7792
Li -2.6994 0.5622 -0.3012
```

=====

Record 11
Below is a relaxed structure of GaRu2O, with properties calculated at the PBE level.

Calculated values
mass density	7.2	g/cm³
magnetic moment	0.000	μB/f.u.
energy relative to the lowest polymorph listed for this composition	0.0	meV per atom

```
8
Lattice="5.4356 0.0000 0.0000 0.0000 5.4356 0.0000 2.7178 2.7178 4.5169" Properties=species:S:1:pos:R:3 pbc="T T T"
Ru 3.6082 1.3589 1.1292
Ru 1.8275 4.0767 1.1292
Ru 4.0767 4.5453 3.3876
Ru 6.7945 6.3260 3.3876
O 2.7178 2.7178 0.0000
O 2.7178 5.4356 2.2584
Ga 0.0000 0.0000 0.0000
Ga 5.4356 2.7178 2.2584
```

=====

Record 12
Below is a relaxed structure of RbPt3Pb3, with properties calculated at the PBE level.

Calculated values
mass density	9.5	g/cm³
magnetic moment	0.000	μB/f.u.
energy relative to the lowest polymorph listed for this composition	70.5	meV per atom
formation enthalpy at 0 K	-0.0685	eV/atom

```
14
Lattice="-4.2062 5.2400 3.7016 -0.3708 -4.6174 6.1150 6.4048 3.1739 2.7850" Properties=species:S:1:pos:R:3 pbc="T T T"
Pb 3.1097 0.4326 2.9213
Pb 2.9243 -1.8761 5.9788
Pb 2.7005 5.0004 3.9395
Pb -3.3401 1.6213 5.8337
Pb -0.5019 3.4135 2.5470
Pb -1.2370 -0.9987 3.9829
Rb 0.9139 1.8983 6.3008
Rb 0.0000 0.0000 0.0000
Pt 2.1508 2.8970 2.3179
Pt 1.4158 -1.5152 3.7538
Pt -2.3812 -0.8431 6.4371
Pt 0.0477 5.5169 4.1687
Pt 4.6182 0.0718 5.1463
Pt -2.1958 1.4656 3.3795
```